No. 1
# K2SiAgF8

A geometry-optimized K2SiAgF8 structure (PBE, Alexandria).

abc: 5.612 5.612 7.000
angles: 90.00 90.00 120.00
Site moments in Bohr magnetons follow the coordinates.
Element x y z (fractional)
K  0.667  0.333  0.162  0.00
K  0.333  0.667  0.838  0.00
Si  0.000  0.000  0.000  0.00
Ag  0.000  0.000  0.500  0.08
F  0.857  0.714  0.856  0.00
F  0.286  0.143  0.856  0.00
F  0.857  0.143  0.856  0.00
F  0.143  0.286  0.144  0.00
F  0.714  0.857  0.144  0.00
F  0.143  0.857  0.144  0.00
F  0.667  0.333  0.520  0.41
F  0.333  0.667  0.480  0.41

Calculated values
**SG**: P-3m1, No. 164
**Spin magnetization**: 1.00 μB/f.u.
**Crystal system**: trigonal



No. 2
# KSmAg2F6

A geometry-optimized KSmAg2F6 structure (PBE, Alexandria).

abc: 6.323 6.320 6.547
angles: 60.99 60.91 59.87
Element x y z (fractional)
K  0.809  0.809  0.574
Sm  0.316  0.315  0.054
Ag  0.531  0.530  0.407
Ag  0.028  0.029  0.915
F  0.581  0.229  0.243
F  0.231  0.946  0.243
F  0.947  0.579  0.246
F  0.392  0.687  0.778
F  0.687  0.143  0.777
F  0.142  0.394  0.779

Calculated values
**SG**: P1, No. 1
**Spin magnetization**: 0.00 μB/f.u.
**Crystal system**: triclinic



No. 3
# KSrAgF6

A geometry-optimized KSrAgF6 structure (PBE, Alexandria).

abc: 6.062 6.062 4.248
angles: 90.00 90.02 60.00
Site moments in Bohr magnetons follow the coordinates.
Element x y z (fractional)
K  0.000  0.000  0.176  0.00
Sr  0.667  0.667  0.713  0.00
Ag  0.333  0.333  0.427  0.86
F  0.968  0.450  0.213  0.16
F  0.247  0.084  0.682  0.18
F  0.669  0.247  0.682  0.19
F  0.084  0.669  0.682  0.18
F  0.450  0.581  0.213  0.16
F  0.581  0.968  0.213  0.16

Calculated values
**SG**: P3, No. 143
**Spin magnetization**: 2.00 μB/f.u.
**Crystal system**: trigonal



In eV/atom, the energy relative to the elements, uncorrected values for the records above are, in order, -2.3727 -2.5573 -2.3816.